# 1
A relaxed structure of PrSm2Sn. Source: Alexandria, functional PBE.

The structure in POSCAR format:
```
PrSm2Sn
1.0
2.8091 -6.6088 0.0000
2.8091 6.6088 0.0000
0.0000 0.0000 6.8877
Pr Sm Sn
2 4 2
direct
0.0696 0.9304 0.7500
0.9304 0.0696 0.2500
0.3661 0.6339 0.5182
0.3661 0.6339 0.9818
0.6339 0.3661 0.0182
0.6339 0.3661 0.4818
0.1710 0.8290 0.2500
0.8290 0.1710 0.7500
```

Output
The value obtained for the polymorph energy (0 for the lowest one) is 119 meV per atom. Its formation energy is -0.324 eV/atom. The raw total energy comes out at -4.88 eV per atom.

# 2
A relaxed structure of BeCu2Au. Source: Alexandria, functional PBE.

The structure in POSCAR format:
```
BeCu2Au
1.0
2.3245 -5.5411 0.0000
2.3245 5.5411 0.0000
-1.9507 0.0000 3.9152
Be Cu Au
2 4 2
direct
0.2426 0.7574 0.7500
0.7574 0.2426 0.2500
0.1177 0.2729 0.6013
0.2729 0.1177 0.1013
0.7271 0.8823 0.8987
0.8823 0.7271 0.3987
0.3409 0.6591 0.2500
0.6591 0.3409 0.7500
```

Output
Its formation energy is -0.054 eV/atom. The raw total energy comes out at -3.85 eV per atom.

# 3
A relaxed structure of Bi8Rh3Au2. Source: Alexandria, functional PBE.

The structure in POSCAR format:
```
Bi8Rh3Au2
1.0
8.6226 0.0000 0.0000
0.0000 4.8524 0.0000
-3.1400 0.0000 8.0545
Bi Rh Au
8 3 2
direct
0.1165 0.0000 0.3839
0.1352 0.5000 0.8689
0.3699 0.5000 0.6369
0.3818 0.0000 0.1166
0.6182 0.0000 0.8834
0.6301 0.5000 0.3631
0.8648 0.5000 0.1311
0.8835 0.0000 0.6161
0.2473 0.0000 0.7469
0.5000 0.5000 0.0000
0.7527 0.0000 0.2531
0.2461 0.5000 0.2553
0.7539 0.5000 0.7447
```

Output
Its formation energy is -0.082 eV/atom. The raw total energy comes out at -4.67 eV per atom.

# 4
A relaxed structure of TcRhCl. Source: Alexandria, functional PBE.

The structure in POSCAR format:
```
TcRhCl
1.0
0.0000 2.9517 2.9517
2.9517 0.0000 2.9517
2.9517 2.9517 0.0000
Tc Rh Cl
1 1 1
direct
0.0000 0.0000 0.0000
0.2500 0.2500 0.2500
0.7500 0.7500 0.7500
```

Output
The value obtained for the polymorph energy (0 for the lowest one) is 399 meV per atom. The raw total energy comes out at -5.93 eV per atom.

# 5
A relaxed structure of SrSi3Pt. Source: Alexandria, functional PBE.

The structure in POSCAR format:
```
SrSi3Pt
1.0
5.2531 0.0000 0.0000
0.0000 5.2531 0.0000
0.0000 0.0000 5.2531
Sr Si Pt
1 3 1
direct
0.0000 0.0000 0.0000
0.0000 0.0000 0.5000
0.0000 0.5000 0.0000
0.5000 0.0000 0.0000
0.5000 0.5000 0.5000
```

Output
The raw total energy comes out at -2.70 eV per atom.

# 6
A relaxed structure of Tm8Hg3Se3S. Source: Alexandria, functional PBE.

The structure in POSCAR format:
```
Tm8Hg3Se3S
1.0
6.7260 -3.8945 0.0000
6.7260 3.8945 0.0000
-4.4757 0.0000 7.3812
Tm Hg Se S
8 3 3 1
direct
0.2420 0.2420 0.7322
0.2423 0.7479 0.7323
0.2521 0.7577 0.2677
0.2567 0.2567 0.2697
0.7433 0.7433 0.7303
0.7479 0.2423 0.7323
0.7577 0.2521 0.2677
0.7580 0.7580 0.2678
0.0000 0.0000 0.0000
0.0000 0.5000 0.0000
0.5000 0.0000 0.0000
0.0000 0.5000 0.5000
0.5000 0.0000 0.5000
0.5000 0.5000 0.5000
0.0000 0.0000 0.5000
```

Output
The raw total energy comes out at -4.45 eV per atom.